This record from OQMD describes an optimized crystal structure of Gd2HoCoSn3Ir2. The functional is PBE.

Unit cell a=3.819 b=7.534 c=7.534 alpha=119.81 beta=90.00 gamma=90.00
Sites, in units of the cell vectors:
1 Co 0.000 0.998 0.998
2 Gd 0.000 0.408 0.000
3 Gd 0.000 0.000 0.408
4 Ho 0.000 0.593 0.593
5 Ir 0.500 0.666 0.336
6 Ir 0.500 0.336 0.666
7 Sn 0.500 0.252 0.252
8 Sn 0.500 0.999 0.748
9 Sn 0.500 0.748 0.999

Results
Space group = Amm2 (38)
Calculated total energy = -6.37 eV/atom
Spin magnetization = 0.01 μB per formula unit